Record 1
Here is a relaxed LiSbPCl2 crystal from Alexandria. Energies are from PBE.

Values from the calculation:
As for the size of the total moment: 0.89 μB per formula unit. The space group is P4/mmm, No. 123. The calculation puts the total energy at -3.165 eV/atom.

Cell: 4.429 4.429 5.342 Å, 90.00 90.00 90.00°
Fractional positions:
Sb  0.500  0.500  0.500
Li  0.000  0.000  0.000
P  0.000  0.000  0.500
Cl  0.000  0.500  0.000
Cl  0.500  0.000  0.000

***

Record 2
Here is a relaxed LiSbP2Cl crystal from Alexandria. Energies are from PBE.

Values from the calculation:
As for the size of the total moment: 0.00 μB per formula unit. The space group is P4/mmm, No. 123. The calculation puts the total energy at -3.314 eV/atom.

Cell: 4.703 4.703 4.350 Å, 90.00 90.00 90.00°
Fractional positions:
Sb  0.500  0.500  0.500
Li  0.000  0.000  0.000
P  0.000  0.500  0.000
P  0.500  0.000  0.000
Cl  0.000  0.000  0.500

***

Record 3
Here is a relaxed LiSbPCl2 crystal from Alexandria. Energies are from PBE.

Values from the calculation:
As for the size of the total moment: 0.69 μB per formula unit. The space group is P4/mmm, No. 123. The calculation puts the total energy at -3.202 eV/atom.

Cell: 5.424 5.424 5.205 Å, 90.00 90.00 90.00°
Fractional positions:
Sb  0.000  0.000  0.000
Li  0.500  0.500  0.500
P  0.000  0.000  0.500
Cl  0.000  0.500  0.000
Cl  0.500  0.000  0.000

***

Record 4
Here is a relaxed LiScP2Cl crystal from Alexandria. Energies are from PBE.

Values from the calculation:
As for the size of the total moment: 0.00 μB per formula unit. The space group is P4/mmm, No. 123. The calculation puts the total energy at -4.324 eV/atom.

Cell: 4.268 4.268 4.881 Å, 90.00 90.00 90.00°
Fractional positions:
Sc  0.500  0.500  0.500
P  0.000  0.500  0.000
P  0.500  0.000  0.000
Li  0.000  0.000  0.000
Cl  0.000  0.000  0.500

***

| no. | formation energy (no corrections) (eV per atom) |
| --- | --- |
| 1 | -0.14 |
| 2 | 0.43 |
| 3 | -0.17 |
| 4 | -0.14 |